A plane-wave DFT calculation with PBE was carried out for a relaxed SrGaCuGe2 crystal. Values from VASP.

Computed properties:
SG: I-4m2
DFT formation energy in eV/atom: -0.34

Structure (Quantum ESPRESSO input):
```
&SYSTEM
  ibrav = 0, nat = 5, ntyp = 4
/
ATOMIC_SPECIES
Sr 87.62 Sr.upf
Ga 69.72 Ga.upf
Cu 63.55 Cu.upf
Ge 72.64 Ge.upf
CELL_PARAMETERS angstrom
-2.205 2.205 5.273
2.205 -2.205 5.273
2.205 2.205 -5.273
ATOMIC_POSITIONS crystal
Sr 0.000 0.000 0.000
Ga 0.750 0.250 0.500
Cu 0.250 0.750 0.500
Ge 0.378 0.378 0.000
Ge 0.622 0.622 0.000
```

A plane-wave DFT calculation with PBE was carried out for a relaxed Li6Ge2N crystal. Values from VASP.

Computed properties:
E_tot in eV for the cell shown: -31.22
SG: Amm2

Structure (Quantum ESPRESSO input):
```
&SYSTEM
  ibrav = 0, nat = 9, ntyp = 3
/
ATOMIC_SPECIES
Li 6.94 Li.upf
Ge 72.64 Ge.upf
N 14.01 N.upf
CELL_PARAMETERS angstrom
3.298 0.000 0.000
0.000 6.401 2.812
0.000 -6.401 2.812
ATOMIC_POSITIONS crystal
Li 0.000 0.000 0.000
Li 0.000 0.557 0.734
Li 0.000 0.734 0.557
Li 0.500 0.064 0.775
Li 0.500 0.385 0.385
Li 0.500 0.775 0.064
Ge 0.000 0.058 0.468
Ge 0.000 0.468 0.058
N 0.500 0.761 0.761
```

A plane-wave DFT calculation with PBE was carried out for a relaxed PrTm2Cu2Si2 crystal. Values from VASP.

Computed properties:
E_tot in eV for the cell shown: -36.10
SG: R-3m

Structure (Quantum ESPRESSO input):
```
&SYSTEM
  ibrav = 0, nat = 7, ntyp = 4
/
ATOMIC_SPECIES
Pr 140.91 Pr.upf
Tm 168.93 Tm.upf
Cu 63.55 Cu.upf
Si 28.09 Si.upf
CELL_PARAMETERS angstrom
2.124 1.226 9.246
-2.124 1.226 9.246
0.000 -2.452 9.246
ATOMIC_POSITIONS crystal
Pr 0.000 0.000 0.000
Tm 0.129 0.129 0.129
Tm 0.871 0.871 0.871
Cu 0.408 0.408 0.408
Cu 0.592 0.592 0.592
Si 0.257 0.257 0.257
Si 0.743 0.743 0.743
```

A plane-wave DFT calculation with PBE was carried out for a relaxed CaBeSbTe2 crystal. Values from VASP.

Computed properties:
E above lowest polymorph in eV per atom: 0.000
SG: P4/mmm

Structure (Quantum ESPRESSO input):
```
&SYSTEM
  ibrav = 0, nat = 5, ntyp = 4
/
ATOMIC_SPECIES
Ca 40.08 Ca.upf
Be 9.01 Be.upf
Sb 121.76 Sb.upf
Te 127.60 Te.upf
CELL_PARAMETERS angstrom
5.493 0.000 0.000
0.000 5.493 0.000
0.000 0.000 4.575
ATOMIC_POSITIONS crystal
Ca 0.000 0.000 0.000
Be 0.500 0.500 0.500
Sb 0.500 0.500 0.000
Te 0.000 0.500 0.500
Te 0.500 0.000 0.500
```

A plane-wave DFT calculation with PBE was carried out for a relaxed LiZr2Au crystal. Values from VASP.

Computed properties:
SG: Cmmm
DFT formation energy in eV/atom: -0.12

Structure (Quantum ESPRESSO input):
```
&SYSTEM
  ibrav = 0, nat = 4, ntyp = 3
/
ATOMIC_SPECIES
Li 6.94 Li.upf
Zr 91.22 Zr.upf
Au 196.97 Au.upf
CELL_PARAMETERS angstrom
2.909 -4.362 0.000
2.909 4.362 0.000
0.000 0.000 3.056
ATOMIC_POSITIONS crystal
Li 0.000 0.000 0.000
Zr 0.000 0.500 0.500
Zr 0.500 0.000 0.500
Au 0.500 0.500 0.000
```

A plane-wave DFT calculation with PBE was carried out for a relaxed HfAlRu2I crystal. Values from VASP.

Computed properties:
E_tot in eV for the cell shown: -26.06
SG: P4/mmm

Structure (Quantum ESPRESSO input):
```
&SYSTEM
  ibrav = 0, nat = 5, ntyp = 4
/
ATOMIC_SPECIES
Hf 178.49 Hf.upf
Al 26.98 Al.upf
Ru 101.07 Ru.upf
I 126.90 I.upf
CELL_PARAMETERS angstrom
4.756 0.000 0.000
0.000 4.756 0.000
0.000 0.000 5.067
ATOMIC_POSITIONS crystal
Hf 0.000 0.000 0.000
Al 0.500 0.500 0.000
Ru 0.000 0.500 0.500
Ru 0.500 0.000 0.500
I 0.500 0.500 0.500
```

A plane-wave DFT calculation with PBE was carried out for a relaxed TaCo2Ir2 crystal. Values from VASP.

Computed properties:
E above lowest polymorph in eV per atom: 0.000
SG: P4/mbm
DFT formation energy in eV/atom: -0.12

Structure (Quantum ESPRESSO input):
```
&SYSTEM
  ibrav = 0, nat = 10, ntyp = 3
/
ATOMIC_SPECIES
Ta 180.95 Ta.upf
Co 58.93 Co.upf
Ir 192.22 Ir.upf
CELL_PARAMETERS angstrom
7.061 0.000 0.000
0.000 7.061 0.000
0.000 0.000 2.752
ATOMIC_POSITIONS crystal
Ta 0.000 0.000 0.000
Ta 0.500 0.500 0.000
Co 0.120 0.380 0.000
Co 0.380 0.880 0.000
Co 0.620 0.120 0.000
Co 0.880 0.620 0.000
Ir 0.176 0.676 0.500
Ir 0.324 0.176 0.500
Ir 0.676 0.824 0.500
Ir 0.824 0.324 0.500
```

A plane-wave DFT calculation with PBE was carried out for a relaxed Cs3Tl9Bi2 crystal. Values from VASP.

Computed properties:
SG: Immm
DFT formation energy in eV/atom: -0.11

Structure (Quantum ESPRESSO input):
```
&SYSTEM
  ibrav = 0, nat = 14, ntyp = 3
/
ATOMIC_SPECIES
Cs 132.91 Cs.upf
Tl 204.38 Tl.upf
Bi 208.98 Bi.upf
CELL_PARAMETERS angstrom
-2.761 6.257 7.904
2.761 -6.257 7.904
2.761 6.257 -7.904
ATOMIC_POSITIONS crystal
Cs 0.000 0.000 0.000
Cs 0.312 0.312 0.000
Cs 0.688 0.688 0.000
Tl 0.032 0.671 0.361
Tl 0.153 0.873 0.281
Tl 0.310 0.671 0.639
Tl 0.408 0.127 0.281
Tl 0.500 0.000 0.500
Tl 0.592 0.873 0.719
Tl 0.690 0.329 0.361
Tl 0.847 0.127 0.719
Tl 0.968 0.329 0.639
Bi 0.283 0.500 0.783
Bi 0.717 0.500 0.217
```

A plane-wave DFT calculation with PBE was carried out for a relaxed Zr5Sb2C2 crystal. Values from VASP.

Computed properties:
E_tot in eV for the cell shown: -72.86
SG: C2/m

Structure (Quantum ESPRESSO input):
```
&SYSTEM
  ibrav = 0, nat = 9, ntyp = 3
/
ATOMIC_SPECIES
Zr 91.22 Zr.upf
Sb 121.76 Sb.upf
C 12.01 C.upf
CELL_PARAMETERS angstrom
6.504 -2.436 0.000
6.504 2.436 0.000
-1.585 0.000 5.692
ATOMIC_POSITIONS crystal
Zr 0.000 0.000 0.000
Zr 0.178 0.178 0.525
Zr 0.330 0.330 0.093
Zr 0.670 0.670 0.907
Zr 0.822 0.822 0.475
Sb 0.420 0.420 0.683
Sb 0.580 0.580 0.317
C 0.162 0.162 0.879
C 0.838 0.838 0.121
```

A plane-wave DFT calculation with PBE was carried out for a relaxed K2ZrCo crystal. Values from VASP.

Computed properties:
E above lowest polymorph in eV per atom: 0.577
SG: I-42d
DFT formation energy in eV/atom: 0.98

Structure (Quantum ESPRESSO input):
```
&SYSTEM
  ibrav = 0, nat = 8, ntyp = 3
/
ATOMIC_SPECIES
K 39.10 K.upf
Zr 91.22 Zr.upf
Co 58.93 Co.upf
CELL_PARAMETERS angstrom
-6.317 6.317 2.261
6.317 -6.317 2.261
6.317 6.317 -2.261
ATOMIC_POSITIONS crystal
K 0.375 0.218 0.343
K 0.782 0.125 0.157
K 0.875 0.032 0.657
K 0.968 0.625 0.843
Zr 0.250 0.750 0.500
Zr 0.500 0.500 0.000
Co 0.000 0.000 0.000
Co 0.750 0.250 0.500
```

A plane-wave DFT calculation with PBE was carried out for a relaxed Be2TlAs crystal. Values from VASP.

Computed properties:
E above lowest polymorph in eV per atom: 0.487
SG: I-4m2
DFT formation energy in eV/atom: 0.69

Structure (Quantum ESPRESSO input):
```
&SYSTEM
  ibrav = 0, nat = 4, ntyp = 3
/
ATOMIC_SPECIES
Be 9.01 Be.upf
Tl 204.38 Tl.upf
As 74.92 As.upf
CELL_PARAMETERS angstrom
-1.769 1.769 5.592
1.769 -1.769 5.592
1.769 1.769 -5.592
ATOMIC_POSITIONS crystal
Be 0.000 0.000 0.000
Be 0.750 0.250 0.500
Tl 0.250 0.750 0.500
As 0.500 0.500 0.000
```

A plane-wave DFT calculation with PBE was carried out for a relaxed NaCuRe3 crystal. Values from VASP.

Computed properties:
E above lowest polymorph in eV per atom: 1.090
SG: Pm-3m
DFT formation energy in eV/atom: 3.27

Structure (Quantum ESPRESSO input):
```
&SYSTEM
  ibrav = 0, nat = 5, ntyp = 3
/
ATOMIC_SPECIES
Na 22.99 Na.upf
Cu 63.55 Cu.upf
Re 186.21 Re.upf
CELL_PARAMETERS angstrom
4.444 0.000 0.000
0.000 4.444 0.000
0.000 0.000 4.444
ATOMIC_POSITIONS crystal
Na 0.000 0.000 0.000
Cu 0.500 0.500 0.500
Re 0.000 0.000 0.500
Re 0.000 0.500 0.000
Re 0.500 0.000 0.000
```

A plane-wave DFT calculation with PBE was carried out for a relaxed NaIn3Ni2 crystal. Values from VASP.

Computed properties:
SG: Cmcm
DFT formation energy in eV/atom: -0.07

Structure (Quantum ESPRESSO input):
```
&SYSTEM
  ibrav = 0, nat = 12, ntyp = 3
/
ATOMIC_SPECIES
Na 22.99 Na.upf
In 114.82 In.upf
Ni 58.69 Ni.upf
CELL_PARAMETERS angstrom
6.646 -3.514 0.000
6.646 3.514 0.000
0.000 0.000 5.440
ATOMIC_POSITIONS crystal
Na 0.154 0.846 0.750
Na 0.846 0.154 0.250
In 0.023 0.384 0.750
In 0.384 0.023 0.250
In 0.391 0.609 0.250
In 0.609 0.391 0.750
In 0.616 0.977 0.750
In 0.977 0.616 0.250
Ni 0.341 0.341 0.000
Ni 0.341 0.341 0.500
Ni 0.659 0.659 0.000
Ni 0.659 0.659 0.500
```

A plane-wave DFT calculation with PBE was carried out for a relaxed La4PrAg crystal. Values from VASP.

Computed properties:
E above lowest polymorph in eV per atom: 0.000
SG: P4/mmm
DFT formation energy in eV/atom: -0.08

Structure (Quantum ESPRESSO input):
```
&SYSTEM
  ibrav = 0, nat = 6, ntyp = 3
/
ATOMIC_SPECIES
La 138.91 La.upf
Pr 140.91 Pr.upf
Ag 107.87 Ag.upf
CELL_PARAMETERS angstrom
3.787 0.000 0.000
0.000 3.787 0.000
0.000 0.000 14.019
ATOMIC_POSITIONS crystal
La 0.000 0.000 0.137
La 0.000 0.000 0.863
La 0.500 0.500 0.317
La 0.500 0.500 0.683
Pr 0.000 0.000 0.500
Ag 0.500 0.500 0.000
```

A plane-wave DFT calculation with PBE was carried out for a relaxed LaPrSnBr crystal. Values from VASP.

Computed properties:
E_tot in eV for the cell shown: -19.23
SG: F-43m

Structure (Quantum ESPRESSO input):
```
&SYSTEM
  ibrav = 0, nat = 4, ntyp = 4
/
ATOMIC_SPECIES
La 138.91 La.upf
Pr 140.91 Pr.upf
Sn 118.71 Sn.upf
Br 79.90 Br.upf
CELL_PARAMETERS angstrom
0.000 3.894 3.894
3.894 0.000 3.894
3.894 3.894 0.000
ATOMIC_POSITIONS crystal
La 0.000 0.000 0.000
Pr 0.500 0.500 0.500
Sn 0.250 0.250 0.250
Br 0.750 0.750 0.750
```

A plane-wave DFT calculation with PBE was carried out for a relaxed PmInGa crystal. Values from VASP.

Computed properties:
E above lowest polymorph in eV per atom: 0.206
SG: I4mm
DFT formation energy in eV/atom: -0.34

Structure (Quantum ESPRESSO input):
```
&SYSTEM
  ibrav = 0, nat = 3, ntyp = 3
/
ATOMIC_SPECIES
Pm 145.00 Pm.upf
In 114.82 In.upf
Ga 69.72 Ga.upf
CELL_PARAMETERS angstrom
-1.763 1.763 5.966
1.763 -1.763 5.966
1.763 1.763 -5.966
ATOMIC_POSITIONS crystal
Pm 0.000 0.000 0.000
In 0.305 0.305 0.000
Ga 0.667 0.667 0.000
```

A plane-wave DFT calculation with PBE was carried out for a relaxed Ag5SbSe5 crystal. Values from VASP.

Computed properties:
E_tot in eV for the cell shown: -36.53
SG: C2/m

Structure (Quantum ESPRESSO input):
```
&SYSTEM
  ibrav = 0, nat = 11, ntyp = 3
/
ATOMIC_SPECIES
Ag 107.87 Ag.upf
Sb 121.76 Sb.upf
Se 78.96 Se.upf
CELL_PARAMETERS angstrom
6.307 -2.749 0.000
6.307 2.749 0.000
-2.452 0.000 7.459
ATOMIC_POSITIONS crystal
Ag 0.000 0.000 0.000
Ag 0.334 0.334 0.673
Ag 0.342 0.342 0.163
Ag 0.658 0.658 0.837
Ag 0.666 0.666 0.327
Sb 0.000 0.000 0.500
Se 0.155 0.155 0.309
Se 0.171 0.171 0.839
Se 0.500 0.500 0.500
Se 0.829 0.829 0.161
Se 0.845 0.845 0.691
```

A plane-wave DFT calculation with PBE was carried out for a relaxed Bi2PdNCl crystal. Values from VASP.

Computed properties:
E_tot in eV for the cell shown: -20.20
SG: P4/mmm

Structure (Quantum ESPRESSO input):
```
&SYSTEM
  ibrav = 0, nat = 5, ntyp = 4
/
ATOMIC_SPECIES
Bi 208.98 Bi.upf
Pd 106.42 Pd.upf
N 14.01 N.upf
Cl 35.45 Cl.upf
CELL_PARAMETERS angstrom
4.976 0.000 0.000
0.000 4.976 0.000
0.000 0.000 4.159
ATOMIC_POSITIONS crystal
Bi 0.000 0.500 0.000
Bi 0.500 0.000 0.000
Pd 0.000 0.000 0.500
N 0.500 0.500 0.000
Cl 0.500 0.500 0.500
```

A plane-wave DFT calculation with PBE was carried out for a relaxed CrSb2TePb crystal. Values from VASP.

Computed properties:
E above lowest polymorph in eV per atom: 0.000
SG: P4/mmm

Structure (Quantum ESPRESSO input):
```
&SYSTEM
  ibrav = 0, nat = 5, ntyp = 4
/
ATOMIC_SPECIES
Cr 52.00 Cr.upf
Sb 121.76 Sb.upf
Te 127.60 Te.upf
Pb 207.20 Pb.upf
CELL_PARAMETERS angstrom
5.091 0.000 0.000
0.000 5.091 0.000
0.000 0.000 5.603
ATOMIC_POSITIONS crystal
Cr 0.000 0.000 0.000
Sb 0.000 0.500 0.000
Sb 0.500 0.000 0.000
Te 0.000 0.000 0.500
Pb 0.500 0.500 0.500
```

A plane-wave DFT calculation with PBE was carried out for a relaxed Mn4Co crystal. Values from VASP.

Computed properties:
E above lowest polymorph in eV per atom: 0.461
SG: I4/mmm
DFT formation energy in eV/atom: 0.54

Structure (Quantum ESPRESSO input):
```
&SYSTEM
  ibrav = 0, nat = 5, ntyp = 2
/
ATOMIC_SPECIES
Mn 54.94 Mn.upf
Co 58.93 Co.upf
CELL_PARAMETERS angstrom
-1.772 1.772 4.882
1.772 -1.772 4.882
1.772 1.772 -4.882
ATOMIC_POSITIONS crystal
Mn 0.108 0.108 0.000
Mn 0.250 0.750 0.500
Mn 0.750 0.250 0.500
Mn 0.892 0.892 0.000
Co 0.500 0.500 0.000
```